one.
## Y3Tm4Ni2Te2 (GGA-PBE)

Data for an optimized crystal structure of Y3Tm4Ni2Te2.

Lattice parameters (Å, degrees): 9.3045 9.3045 9.3045 156.11 66.77 118.69
Last column: nearest neighbours and their distance in Å.
Sites, in units of the cell vectors:
Ni1 0.1681 0.4079 0.7602  4 Tm 2.76-2.77, 2 Y 2.86
Ni2 0.6477 0.4079 0.2398  4 Tm 2.76-2.77, 2 Y 2.86
Te1 0.1378 0.1378 0.0000  2 Tm 3.11, 5 Y 3.15-3.23
Te2 0.7436 0.2436 0.5000  6 Tm 3.17-3.19, 2 Y 3.17
Y1 0.0971 0.7441 0.3529  2 Ni 2.86, 2 Te 3.15
Y2 0.4781 0.4781 0.0000  3 Te 3.17-3.23
Y3 0.3912 0.7441 0.6471  2 Ni 2.86, 2 Te 3.15
Tm1 0.7600 0.8935 0.8665  2 Ni 2.76
Tm2 0.7828 0.0978 0.6850  2 Ni 2.77
Tm3 0.4128 0.0978 0.3150  2 Ni 2.77
Tm4 0.0269 0.8935 0.1335  2 Ni 2.76

Values from the calculation:
space group = Imm2 (44)
total magnetization = 0.001 μB/atom
density = 7.69 Mg/m³

---

two.
## Y3Tm4Ni2Te2 (GGA-PBE)

Data for an optimized crystal structure of Y3Tm4Ni2Te2.

Lattice parameters (Å, degrees): 9.2910 9.2910 9.2910 156.20 67.02 118.39
Last column: nearest neighbours and their distance in Å.
Sites, in units of the cell vectors:
Tm1 0.3947 0.7474 0.6473  2 Ni 2.80
Tm2 0.0285 0.8952 0.1333  2 Ni 2.76
Tm3 0.1002 0.7474 0.3527  2 Ni 2.80
Tm4 0.7620 0.8952 0.8667  2 Ni 2.76
Te1 0.1393 0.1393 0.0000  6 Tm 3.11-3.15, 1 Y 3.21
Te2 0.7441 0.2441 0.5000  4 Tm 3.16, 4 Y 3.19
Y1 0.4761 0.4761 0.0000  3 Te 3.19-3.21
Y2 0.7844 0.0991 0.6853  3 Ni 2.81-3.11
Y3 0.4138 0.0991 0.3147  3 Ni 2.81-3.11
Ni1 0.6404 0.4015 0.2389  4 Tm 2.76-2.80, 2 Y 2.81
Ni2 0.1627 0.4015 0.7611  4 Tm 2.76-2.80, 2 Y 2.81

Values from the calculation:
space group = Imm2 (44)
total magnetization = 0.001 μB/atom
density = 7.73 Mg/m³

---

The most stable of them is one.

---

one.
## Y3NiTe5 (GGA-PBE)

Data for an optimized crystal structure of Y3NiTe5.

Lattice parameters (Å, degrees): 8.5762 8.5762 3.7449 90.00 90.00 120.00
Last column: nearest neighbours and their distance in Å.
Sites, in units of the cell vectors:
Y1 0.0000 0.6460 0.0000  1 Ni 3.04, 8 Te 3.26-3.35
Y2 0.3540 0.3540 0.0000  1 Ni 3.04, 8 Te 3.26-3.35
Y3 0.6460 0.0000 0.0000  1 Ni 3.04, 8 Te 3.26-3.35
Te1 0.7692 0.7692 0.5000  2 Ni 2.72
Te2 0.3333 0.6667 0.5000  6 Y 3.35, 5 Te 3.38-3.74
Te3 0.2308 0.0000 0.5000  2 Ni 2.72
Te4 0.0000 0.2308 0.5000  2 Ni 2.72
Te5 0.6667 0.3333 0.5000  6 Y 3.35, 5 Te 3.38-3.74
Ni1 0.0000 0.0000 0.0000  6 Te 2.72, 3 Y 3.04

Values from the calculation:
space group = P-62m (189)
total magnetization = 0.000 μB/atom
density = 6.71 Mg/m³

---

two.
## Y3NiTe5 (GGA-PBE)

Data for an optimized crystal structure of Y3NiTe5.

Lattice parameters (Å, degrees): 8.6030 8.6030 4.1495 90.00 90.00 120.00
Last column: nearest neighbours and their distance in Å.
Sites, in units of the cell vectors:
Y1 0.0000 0.2739 0.5000  2 Ni 3.14, 6 Te 3.15-3.18
Y2 0.7261 0.7261 0.5000  2 Ni 3.14, 6 Te 3.15-3.18
Y3 0.2739 0.0000 0.5000  2 Ni 3.14, 6 Te 3.15-3.18
Te1 0.0000 0.7135 0.0000  1 Ni 2.46
Te2 0.3333 0.6667 0.5000  3 Y 3.15
Te3 0.6667 0.3333 0.5000  3 Y 3.15
Te4 0.7135 0.0000 0.0000  1 Ni 2.46
Te5 0.2865 0.2865 0.0000  1 Ni 2.46
Ni1 0.0000 0.0000 0.0000  3 Te 2.46

Values from the calculation:
space group = P-62m (189)
total magnetization = 0.002 μB/atom
density = 6.02 Mg/m³

---

The most stable of them is two.

---

one.
## Y5NiTe3 (GGA-PBE)

Data for an optimized crystal structure of Y5NiTe3.

Lattice parameters (Å, degrees): 8.2718 8.2718 4.0874 90.00 90.00 120.00
Last column: nearest neighbours and their distance in Å.
Sites, in units of the cell vectors:
Y1 0.0000 0.6747 0.0000  1 Ni 2.69
Y2 0.6667 0.3333 0.5000  3 Te 3.07
Y3 0.3333 0.6667 0.5000  3 Te 3.07
Y4 0.3253 0.3253 0.0000  1 Ni 2.69
Y5 0.6747 0.0000 0.0000  1 Ni 2.69
Te1 0.2662 0.0000 0.5000  2 Ni 3.00, 6 Y 3.07-3.22
Te2 0.0000 0.2662 0.5000  2 Ni 3.00, 6 Y 3.07-3.22
Te3 0.7338 0.7338 0.5000  2 Ni 3.00, 6 Y 3.07-3.22
Ni1 0.0000 0.0000 0.0000  3 Y 2.69, 6 Te 3.00

Values from the calculation:
space group = P-62m (189)
total magnetization = 0.001 μB/atom
density = 6.07 Mg/m³

---

two.
## Y5NiTe3 (GGA-PBE)

Data for an optimized crystal structure of Y5NiTe3.

Lattice parameters (Å, degrees): 8.5723 8.5723 3.7881 90.00 90.00 120.00
Last column: nearest neighbours and their distance in Å.
Sites, in units of the cell vectors:
Y1 0.0000 0.2286 0.5000  2 Ni 2.73
Y2 0.7714 0.7714 0.5000  2 Ni 2.73
Y3 0.6667 0.3333 0.5000  6 Te 3.21, 3 Y 3.40
Y4 0.3333 0.6667 0.5000  6 Te 3.21, 3 Y 3.40
Y5 0.2286 0.0000 0.5000  2 Ni 2.73
Te1 0.5875 0.0000 0.0000  4 Y 3.21, 1 Ni 3.54
Te2 0.0000 0.5875 0.0000  4 Y 3.21, 1 Ni 3.54
Te3 0.4125 0.4125 0.0000  4 Y 3.21, 1 Ni 3.54
Ni1 0.0000 0.0000 0.0000  6 Y 2.73

Values from the calculation:
space group = P-62m (189)
total magnetization = 0.192 μB/atom
density = 6.10 Mg/m³

---

The most stable of them is two.

---

one.
## Y3Zr3NiTe2 (GGA-PBE)

Data for an optimized crystal structure of Y3Zr3NiTe2.

Lattice parameters (Å, degrees): 8.1711 8.1711 3.6857 90.00 90.00 120.00
Last column: nearest neighbours and their distance in Å.
Sites, in units of the cell vectors:
Te1 0.3333 0.6667 0.5000  6 Zr 3.08, 3 Y 3.15
Te2 0.6667 0.3333 0.5000  6 Zr 3.08, 3 Y 3.15
Ni1 0.0000 0.0000 0.0000  6 Y 2.72
Y1 0.0000 0.7547 0.5000  2 Ni 2.72
Y2 0.7547 0.0000 0.5000  2 Ni 2.72
Y3 0.2453 0.2453 0.5000  2 Ni 2.72
Zr1 0.5903 0.5903 0.0000  4 Te 3.08, 1 Ni 3.35, 6 Y 3.37-3.45
Zr2 0.4097 0.0000 0.0000  4 Te 3.08, 1 Ni 3.35, 6 Y 3.37-3.45
Zr3 0.0000 0.4097 0.0000  4 Te 3.08, 1 Ni 3.35, 6 Y 3.37-3.45

Values from the calculation:
space group = P-62m (189)
total magnetization = 0.000 μB/atom
density = 6.66 Mg/m³

---

two.
## Y3Zr3NiTe2 (GGA-PBE)

Data for an optimized crystal structure of Y3Zr3NiTe2.

Lattice parameters (Å, degrees): 7.9878 7.9878 3.9319 90.00 90.00 120.00
Last column: nearest neighbours and their distance in Å.
Sites, in units of the cell vectors:
Zr1 0.2278 0.2278 0.5000  2 Ni 2.68
Zr2 0.0000 0.7722 0.5000  2 Ni 2.68
Zr3 0.7722 0.0000 0.5000  2 Ni 2.68
Te1 0.3333 0.6667 0.5000  6 Y 3.14, 3 Zr 3.17
Te2 0.6667 0.3333 0.5000  6 Y 3.14, 3 Zr 3.17
Y1 0.0000 0.3989 0.0000  4 Te 3.14, 1 Ni 3.19, 4 Zr 3.40
Y2 0.6011 0.6011 0.0000  4 Te 3.14, 1 Ni 3.19, 4 Zr 3.40
Y3 0.3989 0.0000 0.0000  4 Te 3.14, 1 Ni 3.19, 4 Zr 3.40
Ni1 0.0000 0.0000 0.0000  6 Zr 2.68

Values from the calculation:
space group = P-62m (189)
total magnetization = 0.000 μB/atom
density = 6.53 Mg/m³

---

The most stable of them is two.